# KFe2Ag

A relaxed KFe2Ag crystal (GGA-PBE, Alexandria).

Output
Volume = 70.4 Å³/f.u.
Uncorrected energy = -4.271 eV/atom
Polymorph energy (0 for the lowest one) = 155.7 kJ/mol of formula units

Cell lengths 10.5593, 10.5593, 10.5593 Å; angles 15.18, 15.18, 15.18 degrees
With the nearest neighbours (Å) after each atom.
Sites, in units of the cell vectors:
Ag (0.7500, 0.7500, 0.7500)  6 Ag 2.79, 6 Fe 2.80
Fe (0.0101, 0.0101, 0.0101)  6 Fe 2.79, 3 Ag 2.80
Fe (0.4899, 0.4899, 0.4899)  6 Fe 2.79, 3 Ag 2.80
K (0.2500, 0.2500, 0.2500)  6 K 2.79